Entry 1:
{"formula": "KAs3Br", "functional": "PBE", "state": "optimized geometry", "spacegroup": "Pm-3m", "relative_energy_ev_per_fu": 3.73, "formation_energy_uncorrected_ev_per_atom": 1.47, "lattice_angstrom": [[-2.826, -0.946, 5.998], [-0.182, -6.600, -1.126], [6.069, -0.638, 2.759]], "species": ["As", "As", "As", "K", "Br"], "fractional_positions": [[0.500, 0.000, 0.000], [0.000, 0.000, 0.500], [0.000, 0.500, 0.000], [0.000, 0.000, 0.000], [0.500, 0.500, 0.500]]}

***

Entry 2:
{"formula": "Dy6Ho3Er2Tm", "functional": "PBE", "state": "optimized geometry", "spacegroup": "C2/m", "lattice_angstrom": [[6.092, 0.002, 0.004], [-3.043, 5.278, 0.004], [-1.018, -1.763, 11.473]], "species": ["Ho", "Ho", "Ho", "Er", "Er", "Dy", "Dy", "Dy", "Dy", "Dy", "Dy", "Tm"], "fractional_positions": [[0.167, 0.833, 0.500], [0.833, 0.167, 0.500], [0.500, 0.500, 0.500], [0.333, 0.667, 0.000], [0.667, 0.333, 0.000], [0.083, 0.416, 0.249], [0.750, 0.750, 0.249], [0.584, 0.917, 0.751], [0.416, 0.083, 0.249], [0.250, 0.250, 0.751], [0.917, 0.584, 0.751], [0.000, 0.000, 0.000]]}

***

Entry 3:
{"formula": "LuMgSnHg", "functional": "PBE", "state": "optimized geometry", "spacegroup": "F-43m", "lattice_angstrom": [[5.125, 0.000, 0.000], [2.563, 4.438, 0.000], [2.563, 1.479, 4.185]], "species": ["Lu", "Hg", "Mg", "Sn"], "fractional_positions": [[0.000, 0.000, 0.000], [0.750, 0.750, 0.750], [0.500, 0.500, 0.500], [0.250, 0.250, 0.250]]}

***

Number 1: total magnetization 8.39 μB/f.u., total DFT energy (no corrections) -9.375 eV/cell. Number 2: total magnetization 0.00 μB/f.u., total DFT energy (no corrections) -54.715 eV/cell. Number 3: total magnetization 0.00 μB/f.u., total DFT energy (no corrections) -11.751 eV/cell.